# 1
VASP calculation (PBE) on an optimized crystal structure of As4Ru.

ΔE_f (eV per atom): 0.57
Distance to the lowest polymorph of the same formula (meV/atom): 705

Cell lengths 4.767, 4.767, 4.767 Å; angles 90.00, 90.00, 90.00 degrees
Sites, in units of the cell vectors:
Ru: 0.500 0.500 0.500
As: 0.000 0.000 0.000
As: 0.500 0.000 0.500
As: 0.000 0.500 0.500
As: 0.500 0.500 0.000

***

# 2
VASP calculation (PBE) on an optimized crystal structure of La2PmSmSe4.

Raw formation energy (kJ per mole of atoms): -185

Cell lengths 4.219, 7.375, 7.380 Å; angles 109.17, 90.00, 90.00 degrees
Sites, in units of the cell vectors:
La: 0.500 0.000 0.500
La: 0.000 0.500 0.500
Pm: 0.500 0.500 0.000
Sm: 0.000 0.000 0.000
Se: 0.500 0.246 0.241
Se: 0.500 0.754 0.759
Se: 0.000 0.252 0.759
Se: 0.000 0.748 0.241

***

Number 1: DOS(E_F) 0.591 states/eV/atom. Number 2: DOS(E_F) 0.689 states/eV/atom.